Entry 1:
This record from Alexandria describes a geometry-optimized CaSiPb2 structure. The functional is GGA-PBE.

Cell lengths 3.550, 4.636, 7.013 Å; angles 90.00, 103.12, 90.00 degrees
Space group Pm (No. 6)
Asymmetric unit:
Ca (0.000, 0.000, 0.000) [1 per cell]
Si (0.438, 0.500, 0.864) [1 per cell]
Pb (0.275, 0.000, 0.559) [1 per cell]
Pb (0.636, 0.500, 0.289) [1 per cell]

## Properties
Size of the total moment in μB per formula unit: 0.00
Final energy in eV/atom: -3.76


Entry 2:
This record from Alexandria describes a geometry-optimized Ca2SiPb structure. The functional is GGA-PBE.

Cell lengths 3.376, 5.395, 6.387 Å; angles 90.00, 90.00, 90.00 degrees
Space group Pmmm (No. 47)
Asymmetric unit:
Ca (0.000, 0.000, 0.000) [1 per cell]
Ca (0.500, 0.500, 0.500) [1 per cell]
Si (0.000, 0.000, 0.500) [1 per cell]
Pb (0.500, 0.500, 0.000) [1 per cell]

## Properties
Distance to the lowest polymorph of the same formula in eV/atom: 0.3149
Size of the total moment in μB per formula unit: 0.00


Entry 3:
This record from Alexandria describes a geometry-optimized Ca2SiPb structure. The functional is GGA-PBE.

Cell lengths 9.631, 3.651, 6.635 Å; angles 90.00, 102.47, 90.00 degrees
Space group C2/m (No. 12)
Asymmetric unit:
Ca (0.239, 0.000, 0.230) [4 per cell]
Si (0.000, 0.500, 0.000) [2 per cell]
Pb (0.000, 0.000, 0.500) [2 per cell]

## Properties
Distance to the lowest polymorph of the same formula in eV/atom: 0.1602
Size of the total moment in μB per formula unit: 0.00